(1)
meta-GGA SCAN Fe3OF5, single point on PBEsol structure; V = 11.3 Å³ per atom; Fermi-level density of states = 0.73 states/eV per atom; raw formation energy = -2.22 eV per atom; E_tot = -10.920 eV per atom
1.0
4.755 0.074 0.027
0.171 5.610 0.169
0.115 0.720 7.664
Fe O F
6 2 10
direct
0.524 0.647 0.296
0.476 0.353 0.704
0.500 0.000 0.000
0.993 0.146 0.356
0.000 0.500 0.000
0.007 0.854 0.644
0.716 0.695 0.084
0.284 0.305 0.916
0.786 0.195 0.115
0.775 0.847 0.426
0.805 0.548 0.756
0.720 0.046 0.762
0.695 0.357 0.450
0.280 0.954 0.238
0.305 0.643 0.550
0.214 0.805 0.885
0.195 0.452 0.244
0.225 0.153 0.574


(2)
meta-GGA SCAN InNiS3, single point on PBEsol structure; V = 17.6 Å³ per atom; Fermi-level density of states = 0.85 states/eV per atom; raw formation energy = 0.15 eV per atom; E_tot = -15.543 eV per atom
1.0
4.452 0.000 0.000
0.000 4.452 0.000
0.000 0.000 4.452
Ni S In
1 3 1
direct
0.000 0.000 0.000
0.000 0.500 0.000
0.000 0.000 0.500
0.500 0.000 0.000
0.500 0.500 0.500


(3)
meta-GGA SCAN La2AgOs, single point on PBEsol structure; formation energy = 81.9 meV per atom; V = 21.9 Å³ per atom; Fermi-level density of states = 0.79 states/eV per atom; E_tot = -47.282 eV per atom
1.0
-1.591 -2.069 -3.548
4.029 -0.047 -1.780
-0.400 -2.932 4.624
Os Ag La
1 1 2
direct
0.500 0.500 0.000
0.250 0.750 0.500
0.000 0.000 0.000
0.750 0.250 0.500


(4)
meta-GGA SCAN Sc3CdTe, single point on PBEsol structure; V = 28.4 Å³ per atom; Fermi-level density of states = 0.62 states/eV per atom; raw formation energy = -0.03 eV per atom; E_tot = -22.106 eV per atom
1.0
-4.634 2.227 0.888
-1.433 -4.122 2.860
1.922 2.296 4.273
Sc Te Cd
3 1 1
direct
0.000 0.500 0.000
0.000 0.000 0.500
0.500 0.000 0.000
0.000 0.000 0.000
0.500 0.500 0.500


(5)
meta-GGA SCAN TaTeAs2, single point on PBEsol structure; V = 19.2 Å³ per atom; Fermi-level density of states = 0.86 states/eV per atom; raw formation energy = 0.54 eV per atom; E_tot = -35.518 eV per atom
1.0
4.194 0.000 0.000
0.000 4.194 0.000
-2.097 -2.097 4.355
As Te Ta
2 1 1
direct
0.000 0.000 0.000
0.750 0.250 0.500
0.250 0.750 0.500
0.500 0.500 0.000


(6)
meta-GGA SCAN SnTe2N2, single point on PBEsol structure; V = 18.3 Å³ per atom; Fermi-level density of states = 0.45 states/eV per atom; raw formation energy = 1.45 eV per atom; E_tot = -24.352 eV per atom
1.0
-0.767 -3.137 2.727
4.389 -1.462 -0.448
1.275 2.750 3.523
Te Sn N
2 1 2
direct
0.000 0.000 0.500
0.000 0.500 0.000
0.500 0.500 0.500
0.000 0.000 0.000
0.500 0.000 0.000


(7)
meta-GGA SCAN Sb5P6O24, single point on PBEsol structure; V = 14.5 Å³ per atom; raw formation energy = -1.97 eV per atom; E_tot = -13.351 eV per atom
1.0
8.509 0.009 0.051
-3.068 8.123 -0.104
-3.196 -3.741 7.349
Sb P O
5 6 24
direct
0.938 0.286 0.456
0.326 0.500 0.026
0.022 0.838 0.485
0.691 0.666 0.700
0.550 0.056 0.886
0.626 0.388 0.232
0.378 0.291 0.683
0.739 0.850 0.124
0.135 0.735 0.842
0.242 0.605 0.377
0.873 0.110 0.739
0.175 0.576 0.865
0.438 0.681 0.554
0.661 0.316 0.071
0.654 0.288 0.346
0.564 0.748 0.147
0.955 0.703 0.869
0.072 0.681 0.639
0.188 0.759 0.410
0.762 0.172 0.821
0.428 0.440 0.865
0.910 0.827 0.217
0.084 0.415 0.322
0.669 0.784 0.915
0.765 0.599 0.343
0.789 0.057 0.197
0.308 0.929 0.969
0.546 0.391 0.654
0.383 0.120 0.705
0.861 0.926 0.739
0.176 0.215 0.527
0.276 0.606 0.214
0.095 0.251 0.869
0.420 0.369 0.157
0.809 0.087 0.546


(8)
meta-GGA SCAN NbCoPS2, single point on PBEsol structure; V = 21.2 Å³ per atom; Fermi-level density of states = 0.75 states/eV per atom; raw formation energy = 0.44 eV per atom; E_tot = -15.580 eV per atom
1.0
4.675 0.000 0.000
0.000 4.675 0.000
0.000 0.000 4.861
P Nb Co S
1 1 1 2
direct
0.000 0.000 0.500
0.000 0.000 0.000
0.500 0.500 0.500
0.000 0.500 0.000
0.500 0.000 0.000


(9)
meta-GGA SCAN Al2Mo, single point on PBEsol structure; formation energy = -340.2 meV per atom; V = 14.9 Å³ per atom; Fermi-level density of states = 0.29 states/eV per atom; E_tot = -17.137 eV per atom
1.0
3.666 0.000 0.000
0.000 3.677 0.000
0.000 1.838 6.624
Mo Al
2 4
direct
0.250 0.596 0.808
0.750 0.404 0.192
0.250 0.929 0.142
0.750 0.071 0.858
0.250 0.248 0.504
0.750 0.752 0.496


(10)
meta-GGA SCAN LiAgHg2Pt, single point on PBEsol structure; formation energy = 127.4 meV per atom; V = 24.1 Å³ per atom; Fermi-level density of states = 0.35 states/eV per atom; E_tot = -47.929 eV per atom
1.0
-0.455 4.076 -1.947
-0.455 -2.252 -4.607
-5.102 -0.266 0.634
Ag Hg Pt Li
1 2 1 1
direct
0.500 0.500 0.500
0.000 0.000 0.500
0.000 0.500 0.000
0.000 0.000 0.000
0.500 0.000 0.000


(11)
meta-GGA SCAN Be2Ru, single point on PBEsol structure; formation energy = 31.6 meV per atom; V = 10.7 Å³ per atom; Fermi-level density of states = 0.43 states/eV per atom; E_tot = -14.480 eV per atom
1.0
2.635 0.000 0.000
0.000 4.019 0.000
-1.317 0.000 6.077
Ru Be
2 4
direct
0.284 0.750 0.567
0.716 0.250 0.433
0.606 0.750 0.211
0.940 0.750 0.881
0.060 0.250 0.119
0.394 0.250 0.789


(12)
meta-GGA SCAN BaNiIr2, single point on PBEsol structure; formation energy = -222.6 meV per atom; V = 22.2 Å³ per atom; Fermi-level density of states = 0.75 states/eV per atom; E_tot = -49.703 eV per atom
1.0
-1.249 -0.046 -4.126
2.023 -2.540 -2.836
-3.283 -4.928 -1.204
Ni Ir Ba
1 2 1
direct
0.574 0.574 0.278
0.934 0.934 0.197
0.252 0.252 0.243
0.752 0.752 0.745


(13)
meta-GGA SCAN CaHf3O, single point on PBEsol structure; V = 23.4 Å³ per atom; Fermi-level density of states = 0.57 states/eV per atom; raw formation energy = 2.32 eV per atom; E_tot = -38.460 eV per atom
1.0
4.890 0.000 0.000
0.000 4.890 0.000
0.000 0.000 4.890
Ca Hf O
1 3 1
direct
0.000 0.000 0.000
0.000 0.500 0.000
0.000 0.000 0.500
0.500 0.000 0.000
0.500 0.500 0.500


(14)
meta-GGA SCAN FeHg2Pt, single point on PBEsol structure; formation energy = 226.4 meV per atom; V = 16.6 Å³ per atom; Fermi-level density of states = 0.57 states/eV per atom; E_tot = -55.937 eV per atom
1.0
-0.785 1.085 -2.610
2.872 -1.885 -1.647
-3.560 -4.666 -0.869
Fe Hg Pt
1 2 1
direct
0.500 0.500 0.500
0.000 0.000 0.742
0.000 0.000 0.258
0.500 0.500 0.000


(15)
meta-GGA SCAN Mg4Zn3, single point on PBEsol structure; formation energy = -58.5 meV per atom; V = 18.3 Å³ per atom; Fermi-level density of states = 0.34 states/eV per atom; E_tot = -8.693 eV per atom
1.0
3.078 0.000 0.000
0.000 3.078 0.000
-1.539 -1.539 13.531
Zn Mg
3 4
direct
0.000 0.000 0.000
0.277 0.277 0.554
0.723 0.723 0.446
0.155 0.155 0.309
0.432 0.432 0.865
0.568 0.568 0.135
0.845 0.845 0.691


(16)
meta-GGA SCAN NbIrSe2, single point on PBEsol structure; V = 17.9 Å³ per atom; Fermi-level density of states = 0.78 states/eV per atom; raw formation energy = -0.11 eV per atom; E_tot = -36.203 eV per atom
1.0
-3.137 0.126 0.203
-1.751 -0.127 -2.610
-1.923 -8.319 -0.200
Nb Ir Se
1 1 2
direct
0.500 0.500 0.500
0.000 0.000 0.000
0.906 0.906 0.282
0.094 0.094 0.718


(17)
meta-GGA SCAN AlTe2RuI, single point on PBEsol structure; V = 29.0 Å³ per atom; Fermi-level density of states = 1.06 states/eV per atom; raw formation energy = 0.52 eV per atom; E_tot = -30.246 eV per atom
1.0
-5.039 0.403 0.377
0.286 -1.054 4.950
0.524 5.494 1.140
I Ru Te Al
1 1 2 1
direct
0.000 0.000 0.500
0.000 0.000 0.000
0.000 0.500 0.000
0.500 0.000 0.000
0.500 0.500 0.500


(18)
meta-GGA SCAN AlAsOs2, single point on PBEsol structure; formation energy = 299.3 meV per atom; V = 14.7 Å³ per atom; Fermi-level density of states = 0.74 states/eV per atom; E_tot = -42.626 eV per atom
1.0
-1.053 2.604 -0.387
-1.146 -1.617 2.027
5.428 3.007 5.470
As Os Al
1 2 1
direct
0.500 0.500 0.000
0.000 0.000 0.252
0.000 0.000 0.748
0.500 0.500 0.500


(19)
meta-GGA SCAN Li2AlIn, single point on PBEsol structure; formation energy = -183.9 meV per atom; V = 17.5 Å³ per atom; Fermi-level density of states = 0.37 states/eV per atom; E_tot = -11.663 eV per atom
1.0
-0.190 3.662 -0.099
-3.007 -0.242 -3.206
-1.557 -1.793 4.618
In Al Li
1 1 2
direct
0.254 0.754 0.508
0.494 0.494 0.988
0.005 0.005 0.010
0.747 0.247 0.494


(20)
meta-GGA SCAN CaIr2Ru, single point on PBEsol structure; formation energy = 400.8 meV per atom; V = 16.1 Å³ per atom; Fermi-level density of states = 0.47 states/eV per atom; E_tot = -46.271 eV per atom
1.0
4.495 0.000 0.000
2.248 3.893 0.000
2.248 1.298 3.670
Ru Ca Ir
1 1 2
direct
0.500 0.500 0.500
0.000 0.000 0.000
0.250 0.250 0.250
0.750 0.750 0.750